(1)
MgIr2Au | PBE | relaxed

Lattice parameters (Å, degrees): 2.8087 2.8087 8.0868 90.00 90.00 90.00
Positions (direct):
Mg: 0.0000 0.0000 0.0000
Ir: 0.0000 0.0000 0.5323
Ir: 0.5000 0.5000 0.7515
Au: 0.5000 0.5000 0.2617

Results
Energy relative to the elements, kJ/mol of formula units: -45
Total energy, eV per formula unit: -23.06
Fermi-level density of states, states/eV/f.u.: 2.553


(2)
LiNbTe2I | PBE | relaxed

Lattice parameters (Å, degrees): 4.9891 4.9891 5.4193 90.00 90.00 90.00
Positions (direct):
Li: 0.0000 0.0000 0.0000
Nb: 0.5000 0.5000 0.5000
Te: 0.0000 0.5000 0.0000
Te: 0.5000 0.0000 0.0000
I: 0.0000 0.0000 0.5000

Results
Total energy, eV per formula unit: -17.14
Fermi-level density of states, states/eV/f.u.: 2.826


(3)
LaAgTe2 | PBE | relaxed

Lattice parameters (Å, degrees): 5.2166 5.2166 4.0587 90.00 90.00 90.34
Positions (direct):
La: 0.0000 0.0000 0.0000
Ag: 0.5000 0.5000 0.0000
Te: 0.0000 0.5000 0.5000
Te: 0.5000 0.0000 0.5000

Results
Total energy, eV per formula unit: -17.47
Fermi-level density of states, states/eV/f.u.: 1.451


(4)
Pr3Mg2Cu4 | PBE | relaxed

Lattice parameters (Å, degrees): 5.5354 5.5354 9.0021 94.17 94.17 47.25
Positions (direct):
Pr: 0.0000 0.0000 0.0000
Pr: 0.3685 0.3685 0.6180
Pr: 0.6315 0.6315 0.3820
Mg: 0.3246 0.3246 0.2202
Mg: 0.6754 0.6754 0.7798
Cu: 0.0730 0.0730 0.6271
Cu: 0.2791 0.2791 0.9271
Cu: 0.7209 0.7209 0.0729
Cu: 0.9270 0.9270 0.3729

Results
Energy relative to the elements, kJ/mol of formula units: -127
Total energy, eV per formula unit: -35.23
Fermi-level density of states, states/eV/f.u.: 8.021